Entry 1:
Computed, not measured: crystalline BeH2Cl at its relaxed geometry at the PBE level of DFT.

a b c (Å): 6.9311 6.9311 6.9311
angles (deg): 90.00 90.00 90.00
Space group Fd-3m (No. 227, origin choice 2)
Unique sites:
Be (0.1250, 0.1250, 0.1250) [8 per cell]
H (0.0000, 0.0000, 0.0000) [16 per cell]
Cl (0.1250, 0.1250, 0.6250) [8 per cell]

Results
ΔE to the lowest computed polymorph = 0 meV per atom
Spin magnetization = 1.00 μB per formula unit
N(E_F) = 13.5 states/eV/cell

Entry 2:
Computed, not measured: crystalline Li3Sn2Au at its relaxed geometry at the PBE level of DFT.

a b c (Å): 4.2635 12.6359 4.1462
angles (deg): 90.00 90.00 90.00
Space group Cmmm (No. 65)
Unique sites:
Li (0.0000, 0.0000, 0.0000) [2 per cell]
Li (0.0000, 0.3363, 0.0000) [4 per cell]
Sn (0.0000, 0.1573, 0.5000) [4 per cell]
Au (0.0000, 0.5000, 0.5000) [2 per cell]

Results
ΔE to the lowest computed polymorph = 21 meV per atom
Spin magnetization = 0.00 μB per formula unit
N(E_F) = 2.8 states/eV/cell

Entry 3:
Computed, not measured: crystalline Sc4NiW at its relaxed geometry at the PBE level of DFT.

a b c (Å): 7.7639 7.7639 7.7639
angles (deg): 90.00 90.00 90.00
Space group F-43m (No. 216)
Unique sites:
Sc (0.1244, 0.1244, 0.1244) [16 per cell]
Ni (0.0000, 0.0000, 0.5000) [4 per cell]
W (0.2500, 0.2500, 0.7500) [4 per cell]

Results
Final energy = -158.38 eV/cell
Spin magnetization = 0.00 μB per formula unit
N(E_F) = 30.9 states/eV/cell

Entry 4:
Computed, not measured: crystalline CsPr2I8 at its relaxed geometry at the PBE level of DFT.

a b c (Å): 9.9613 15.8254 6.3114
angles (deg): 90.00 90.13 90.00
Space group C2/m (No. 12)
Unique sites:
Cs (0.0000, 0.0000, 0.0000) [2 per cell]
Pr (0.0000, 0.3053, 0.5000) [4 per cell]
I (0.0000, 0.2619, 0.0000) [4 per cell]
I (0.0007, 0.5000, 0.7510) [4 per cell]
I (0.1902, 0.1351, 0.5015) [8 per cell]

Results
ΔE to the lowest computed polymorph = 0 meV per atom
Spin magnetization = 0.00 μB per formula unit
Energy relative to the elements, uncorrected = -1294 meV per atom
N(E_F) = 3.7 states/eV/cell

Entry 5:
Computed, not measured: crystalline CeThTcHg at its relaxed geometry at the PBE level of DFT.

a b c (Å): 7.3269 7.3269 7.3269
angles (deg): 90.00 90.00 90.00
Space group F-43m (No. 216)
Unique sites:
Ce (0.0000, 0.0000, 0.0000) [4 per cell]
Th (0.0000, 0.0000, 0.5000) [4 per cell]
Tc (0.2500, 0.2500, 0.2500) [4 per cell]
Hg (0.2500, 0.2500, 0.7500) [4 per cell]

Results
ΔE to the lowest computed polymorph = 31 meV per atom
Spin magnetization = 0.21 μB per formula unit
N(E_F) = 24.3 states/eV/cell

Entry 6:
Computed, not measured: crystalline CaPt2Rh at its relaxed geometry at the PBE level of DFT.

a b c (Å): 6.5331 6.5331 6.5331
angles (deg): 90.00 90.00 90.00
Space group F-43m (No. 216)
Unique sites:
Ca (0.0000, 0.0000, 0.0000) [4 per cell]
Pt (0.0000, 0.0000, 0.5000) [4 per cell]
Pt (0.2500, 0.2500, 0.2500) [4 per cell]
Rh (0.2500, 0.2500, 0.7500) [4 per cell]

Results
Final energy = -89.02 eV/cell
Spin magnetization = 0.85 μB per formula unit
N(E_F) = 26.5 states/eV/cell

Entry 7:
Computed, not measured: crystalline InGe2I6 at its relaxed geometry at the PBE level of DFT.

a b c (Å): 15.3726 14.1606 10.1342
angles (deg): 90.00 115.92 90.00
Space group C2/c (No. 15)
Unique sites:
In (0.0000, 0.0856, 0.2500) [4 per cell]
Ge (0.1854, 0.4208, 0.2358) [8 per cell]
I (0.1209, 0.0928, 0.6377) [8 per cell]
I (0.1374, 0.2379, 0.1799) [8 per cell]
I (0.1448, 0.4903, 0.4652) [8 per cell]

Results
Spin magnetization = 0.00 μB per formula unit
Energy relative to the elements, uncorrected = -270 meV per atom
N(E_F) = 11.9 states/eV/cell

Entry 8:
Computed, not measured: crystalline Hf2MgAl at its relaxed geometry at the PBE level of DFT.

a b c (Å): 3.0128 3.0128 32.8471
angles (deg): 90.00 90.00 120.00
Space group R-3m (No. 166, hexagonal axes)
Unique sites:
Hf (0.0000, 0.0000, 0.0916) [6 per cell]
Mg (0.0000, 0.0000, 0.0000) [3 per cell]
Al (0.0000, 0.0000, 0.5000) [3 per cell]

Results
Final energy = -73.52 eV/cell
Spin magnetization = 0.00 μB per formula unit
N(E_F) = 13.6 states/eV/cell

Repeat the fifth record exactly.
Computed, not measured: crystalline CeThTcHg at its relaxed geometry at the PBE level of DFT.

a b c (Å): 7.3269 7.3269 7.3269
angles (deg): 90.00 90.00 90.00
Space group F-43m (No. 216)
Unique sites:
Ce (0.0000, 0.0000, 0.0000) [4 per cell]
Th (0.0000, 0.0000, 0.5000) [4 per cell]
Tc (0.2500, 0.2500, 0.2500) [4 per cell]
Hg (0.2500, 0.2500, 0.7500) [4 per cell]

Results
ΔE to the lowest computed polymorph = 31 meV per atom
Spin magnetization = 0.21 μB per formula unit
N(E_F) = 24.3 states/eV/cell